Entry 1:
Pm2Ni2Br | PBE | relaxed

Output
The crystal system is monoclinic. Its energy is -5.334 eV per atom. As for the size of the total moment: 0.00 μB per atom. The value obtained for the uncorrected formation energy is -0.79 eV per atom. As for the density of states at the Fermi level: 5.01 states/eV/f.u.

abc: 7.051 4.019 8.576
angles: 90.00 104.67 90.00
Space group C2/m (No. 12)
Unique sites:
Pm 0.088 0.000 0.217 x4
Ni 0.166 0.500 0.003 x4
Br 0.000 0.500 0.500 x2

Entry 2:
Li3Th2CoNi12 | PBE | relaxed

Output
The crystal system is trigonal. Its energy is -5.329 eV per atom. As for the size of the total moment: 0.08 μB per atom. For the energy of formation from the pure elements, the calculation gives 63 meV per atom. As for the density of states at the Fermi level: 24.57 states/eV/f.u.

abc: 5.0678 5.0678 34.7790
angles: 90.00 90.00 120.00
Space group R-3m (No. 166, hexagonal axes)
Unique sites:
Li 0.0000 0.5000 0.0000 x9
Th 0.0000 0.0000 0.1413 x6
Co 0.0000 0.0000 0.5000 x3
Ni 0.0068 0.5034 0.1093 x18
Ni 0.0161 0.5080 0.6108 x18

Entry 3:
Cr2PtW2 | PBE | relaxed

Output
The crystal system is tetragonal. Its energy is -9.960 eV per atom. As for the size of the total moment: 0.00 μB per atom. For the energy of formation from the pure elements, the calculation gives 279 meV per atom. The value obtained for the relative energy among the computed polymorphs is 0 meV/atom. As for the density of states at the Fermi level: 3.35 states/eV/f.u.

abc: 6.930 6.930 3.024
angles: 90.00 90.00 90.00
Space group P4/mbm (No. 127)
Unique sites:
Cr 0.106 0.394 0.000 x4
Pt 0.000 0.000 0.000 x2
W 0.197 0.697 0.500 x4

Entry 4:
TbCe4Er3Te8 | PBE | relaxed

Output
The crystal system is trigonal. Its energy is -5.516 eV per atom. As for the size of the total moment: 0.32 μB per atom. The value obtained for the uncorrected formation energy is -1.32 eV per atom. As for the density of states at the Fermi level: 29.61 states/eV/f.u.

abc: 8.7362 8.7362 22.0503
angles: 90.00 90.00 120.00
Space group R-3m (No. 166, hexagonal axes)
Unique sites:
Tb 0.0000 0.0000 0.0000 x3
Ce 0.0000 0.0000 0.5000 x3
Ce 0.0000 0.5000 0.5000 x9
Er 0.0000 0.5000 0.0000 x9
Te 0.0000 0.0000 0.2549 x6
Te 0.0023 0.5011 0.2543 x18